1.
Li2Pu2Pt3 (PBE-GGA, optimized geometry); N(E_F) = 16.1 states/eV/cell; relative energy among the computed polymorphs = 0 meV/atom; space group = Cmmm (65); DFT formation energy = -0.628 eV per atom; final energy = -55.012 eV/cell
1.0
1.9382 -11.1163 0.0000
1.9382 11.1163 0.0000
0.0000 0.0000 2.8866
Li Pu Pt
2 2 3
direct
0.2206 0.7794 0.0000
0.7794 0.2206 0.0000
0.0844 0.9156 0.0000
0.9156 0.0844 0.0000
0.3316 0.6684 0.5000
0.5000 0.5000 0.5000
0.6684 0.3316 0.5000

---

2.
LiPu2Pt (PBE-GGA, optimized geometry); N(E_F) = 7.4 states/eV/cell; space group = P4/mmm (123); DFT formation energy = 0.113 eV per atom; final energy = -36.168 eV/cell
1.0
3.5123 0.0000 0.0000
0.0000 3.5123 0.0000
0.0000 0.0000 5.1386
Li Pu Pt
1 2 1
direct
0.0000 0.0000 0.0000
0.0000 0.5000 0.5000
0.5000 0.0000 0.5000
0.5000 0.5000 0.0000

---

3.
Li2PuPt2 (PBE-GGA, optimized geometry); N(E_F) = 29.7 states/eV/cell; relative energy among the computed polymorphs = 439 meV/atom; space group = I4_1md (109); DFT formation energy = -0.168 eV per atom; final energy = -62.167 eV/cell
1.0
-2.9582 2.9582 5.2735
2.9582 -2.9582 5.2735
2.9582 2.9582 -5.2735
Li Pu Pt
4 2 4
direct
0.2020 0.0000 0.2020
0.7500 0.0480 0.2980
0.7500 0.4520 0.7020
0.7980 0.0000 0.7980
0.0374 0.5374 0.5000
0.2874 0.2874 0.0000
0.0492 0.7730 0.2762
0.4968 0.7730 0.7238
0.5230 0.2992 0.7762
0.5230 0.7468 0.2238

---

4.
Li2PuPt (PBE-GGA, optimized geometry); N(E_F) = 21.5 states/eV/cell; relative energy among the computed polymorphs = 0 meV/atom; space group = Pmmn (59); DFT formation energy = -0.427 eV per atom; final energy = -51.814 eV/cell
1.0
4.4523 0.0000 0.0000
0.0000 5.4244 0.0000
0.0000 0.0000 6.3854
Li Pu Pt
4 2 2
direct
0.2500 0.0084 0.1010
0.2500 0.4916 0.1010
0.7500 0.5084 0.8990
0.7500 0.9916 0.8990
0.2500 0.2500 0.5651
0.7500 0.7500 0.4349
0.2500 0.7500 0.7373
0.7500 0.2500 0.2627

---

5.
LiPu2Pt4 (PBE-GGA, optimized geometry); N(E_F) = 18.1 states/eV/cell; space group = C2/m (12); DFT formation energy = -0.509 eV per atom; final energy = -58.304 eV/cell
1.0
2.7799 -4.8192 0.0000
2.7799 4.8192 0.0000
-2.6666 0.0000 5.0676
Li Pu Pt
1 2 4
direct
0.0000 0.0000 0.0000
0.1879 0.8121 0.5000
0.8121 0.1879 0.5000
0.2648 0.7352 0.0000
0.4515 0.4515 0.7060
0.5485 0.5485 0.2940
0.7352 0.2648 0.0000

---

6.
LiPu6Pt5 (PBE-GGA, optimized geometry); N(E_F) = 63.0 states/eV/cell; space group = C2/m (12); DFT formation energy = -0.574 eV per atom; final energy = -125.000 eV/cell
1.0
8.2846 -2.4402 0.0000
8.2846 2.4402 0.0000
-2.9578 0.0000 6.5241
Li Pu Pt
1 6 5
direct
0.0000 0.0000 0.0000
0.1751 0.1751 0.4235
0.1809 0.1809 0.9163
0.4971 0.4971 0.2688
0.5029 0.5029 0.7312
0.8191 0.8191 0.0837
0.8249 0.8249 0.5765
0.0000 0.0000 0.5000
0.3352 0.3352 0.3399
0.3590 0.3590 0.8599
0.6410 0.6410 0.1401
0.6648 0.6648 0.6601

---

| no. | theoretical density (g/cm³) |
| --- | --- |
| 1 | 14.513 |
| 2 | 18.075 |
| 3 | 11.660 |
| 4 | 9.755 |
| 5 | 15.596 |
| 6 | 15.400 |